Compound: Sr3Sb12Pb5
Source: Alexandria via LeMat-Bulk
Functional: GGA-PBE
Structure: relaxed

Lattice parameters (Å, degrees): 16.0906 16.0906 16.0906 109.47 109.47 109.47
With the nearest neighbours (Å) after each atom.
Element x y z (fractional)
Sr1 0.1250 0.2500 0.3750  8 Sb 3.19-3.36
Sr2 0.1250 0.3750 0.7500  8 Sb 3.19-3.36
Sr3 0.2500 0.3750 0.1250  8 Sb 3.19-3.36
Sr4 0.2500 0.8750 0.6250  8 Sb 3.19-3.36
Sr5 0.3750 0.1250 0.2500  8 Sb 3.19-3.36
Sr6 0.3750 0.7500 0.1250  8 Sb 3.19-3.36
Sr7 0.6250 0.2500 0.8750  8 Sb 3.19-3.36
Sr8 0.6250 0.8750 0.7500  8 Sb 3.19-3.36
Sr9 0.7500 0.1250 0.3750  8 Sb 3.19-3.36
Sr10 0.7500 0.6250 0.8750  8 Sb 3.19-3.36
Sr11 0.8750 0.6250 0.2500  8 Sb 3.19-3.36
Sr12 0.8750 0.7500 0.6250  8 Sb 3.19-3.36
Sb1 0.0719 0.2484 0.1538  1 Sb 2.97, 1 Pb 3.06, 1 Sr 3.19
Sb2 0.0719 0.3235 0.9181  1 Sb 2.97, 1 Pb 3.06, 1 Sr 3.19
Sb3 0.0819 0.6538 0.4054  1 Sb 2.97, 1 Pb 3.06, 1 Sr 3.19
Sb4 0.0819 0.9281 0.6765  1 Sb 2.97, 1 Pb 3.06, 1 Sr 3.19
Sb5 0.0946 0.7484 0.6765  1 Sb 2.97, 1 Pb 3.06, 1 Sr 3.19
Sb6 0.0946 0.8462 0.4181  1 Sb 2.97, 1 Pb 3.06, 1 Sr 3.19
Sb7 0.1538 0.0719 0.2484  1 Sb 2.97, 1 Pb 3.06, 1 Sr 3.19
Sb8 0.1538 0.5819 0.9054  1 Sb 2.97, 1 Pb 3.06, 1 Sr 3.19
Sb9 0.1765 0.2484 0.5946  1 Sb 2.97, 1 Pb 3.06, 1 Sr 3.19
Sb10 0.1765 0.4281 0.5819  1 Sb 2.97, 1 Pb 3.06, 1 Sr 3.19
Sb11 0.2484 0.1538 0.0719  1 Sb 2.97, 1 Pb 3.06, 1 Sr 3.19
Sb12 0.2484 0.5946 0.1765  1 Sb 2.97, 1 Pb 3.06, 1 Sr 3.19
Sb13 0.2516 0.3235 0.9054  1 Sb 2.97, 1 Pb 3.06, 1 Sr 3.19
Sb14 0.2516 0.4281 0.3462  1 Sb 2.97, 1 Pb 3.06, 1 Sr 3.19
Sb15 0.3235 0.9054 0.2516  1 Sb 2.97, 1 Pb 3.06, 1 Sr 3.19
Sb16 0.3235 0.9181 0.0719  1 Sb 2.97, 1 Pb 3.06, 1 Sr 3.19
Sb17 0.3462 0.2516 0.4281  1 Sb 2.97, 1 Pb 3.06, 1 Sr 3.19
Sb18 0.3462 0.5946 0.9181  1 Sb 2.97, 1 Pb 3.06, 1 Sr 3.19
Sb19 0.4054 0.0819 0.6538  1 Sb 2.97, 1 Pb 3.06, 1 Sr 3.19
Sb20 0.4054 0.8235 0.7516  1 Sb 2.97, 1 Pb 3.06, 1 Sr 3.19
Sb21 0.4181 0.0946 0.8462  1 Sb 2.97, 1 Pb 3.06, 1 Sr 3.19
Sb22 0.4181 0.8235 0.5719  1 Sb 2.97, 1 Pb 3.06, 1 Sr 3.19
Sb23 0.4281 0.3462 0.2516  1 Sb 2.97, 1 Pb 3.06, 1 Sr 3.19
Sb24 0.4281 0.5819 0.1765  1 Sb 2.97, 1 Pb 3.06, 1 Sr 3.19
Sb25 0.5719 0.4181 0.8235  1 Sb 2.97, 1 Pb 3.06, 1 Sr 3.19
Sb26 0.5719 0.6538 0.7484  1 Sb 2.97, 1 Pb 3.06, 1 Sr 3.19
Sb27 0.5819 0.1765 0.4281  1 Sb 2.97, 1 Pb 3.06, 1 Sr 3.19
Sb28 0.5819 0.9054 0.1538  1 Sb 2.97, 1 Pb 3.06, 1 Sr 3.19
Sb29 0.5946 0.1765 0.2484  1 Sb 2.97, 1 Pb 3.06, 1 Sr 3.19
Sb30 0.5946 0.9181 0.3462  1 Sb 2.97, 1 Pb 3.06, 1 Sr 3.19
Sb31 0.6538 0.4054 0.0819  1 Sb 2.97, 1 Pb 3.06, 1 Sr 3.19
Sb32 0.6538 0.7484 0.5719  1 Sb 2.97, 1 Pb 3.06, 1 Sr 3.19
Sb33 0.6765 0.0819 0.9281  1 Sb 2.97, 1 Pb 3.06, 1 Sr 3.19
Sb34 0.6765 0.0946 0.7484  1 Sb 2.97, 1 Pb 3.06, 1 Sr 3.19
Sb35 0.7484 0.5719 0.6538  1 Sb 2.97, 1 Pb 3.06, 1 Sr 3.19
Sb36 0.7484 0.6765 0.0946  1 Sb 2.97, 1 Pb 3.06, 1 Sr 3.19
Sb37 0.7516 0.4054 0.8235  1 Sb 2.97, 1 Pb 3.06, 1 Sr 3.19
Sb38 0.7516 0.8462 0.9281  1 Sb 2.97, 1 Pb 3.06, 1 Sr 3.19
Sb39 0.8235 0.5719 0.4181  1 Sb 2.97, 1 Pb 3.06, 1 Sr 3.19
Sb40 0.8235 0.7516 0.4054  1 Sb 2.97, 1 Pb 3.06, 1 Sr 3.19
Sb41 0.8462 0.4181 0.0946  1 Sb 2.97, 1 Pb 3.06, 1 Sr 3.19
Sb42 0.8462 0.9281 0.7516  1 Sb 2.97, 1 Pb 3.06, 1 Sr 3.19
Sb43 0.9054 0.1538 0.5819  1 Sb 2.97, 1 Pb 3.06, 1 Sr 3.19
Sb44 0.9054 0.2516 0.3235  1 Sb 2.97, 1 Pb 3.06, 1 Sr 3.19
Sb45 0.9181 0.0719 0.3235  1 Sb 2.97, 1 Pb 3.06, 1 Sr 3.19
Sb46 0.9181 0.3462 0.5946  1 Sb 2.97, 1 Pb 3.06, 1 Sr 3.19
Sb47 0.9281 0.6765 0.0819  1 Sb 2.97, 1 Pb 3.06, 1 Sr 3.19
Sb48 0.9281 0.7516 0.8462  1 Sb 2.97, 1 Pb 3.06, 1 Sr 3.19
Pb1 0.0000 0.0000 0.0000  6 Sb 3.44
Pb2 0.0000 0.0000 0.5000  6 Sb 3.44
Pb3 0.0000 0.5000 0.0000  6 Sb 3.44
Pb4 0.0000 0.5000 0.5000  6 Sb 3.44
Pb5 0.1250 0.7500 0.8750  4 Sb 3.06
Pb6 0.1250 0.8750 0.2500  4 Sb 3.06
Pb7 0.2500 0.1250 0.8750  4 Sb 3.06
Pb8 0.2500 0.6250 0.3750  4 Sb 3.06
Pb9 0.3750 0.2500 0.6250  4 Sb 3.06
Pb10 0.3750 0.6250 0.7500  4 Sb 3.06
Pb11 0.5000 0.0000 0.0000  6 Sb 3.44
Pb12 0.5000 0.0000 0.5000  6 Sb 3.44
Pb13 0.5000 0.5000 0.0000  6 Sb 3.44
Pb14 0.5000 0.5000 0.5000  6 Sb 3.44
Pb15 0.6250 0.3750 0.2500  4 Sb 3.06
Pb16 0.6250 0.7500 0.3750  4 Sb 3.06
Pb17 0.7500 0.3750 0.6250  4 Sb 3.06
Pb18 0.7500 0.8750 0.1250  4 Sb 3.06
Pb19 0.8750 0.1250 0.7500  4 Sb 3.06
Pb20 0.8750 0.2500 0.1250  4 Sb 3.06

Values from the calculation:
As for the total moment: 0.000 μB per atom. For the density of states at the Fermi level, the calculation gives 73.4 states/eV per cell. As for the energy relative to the elements, uncorrected: 0.024 eV per atom. The space-group type is Ia-3d.

---

Compound: Li2CaZn
Source: Alexandria via LeMat-Bulk
Functional: GGA-PBE
Structure: relaxed

Lattice parameters (Å, degrees): 9.8862 9.8862 9.8862 33.70 33.70 33.70
With the nearest neighbours (Å) after each atom.
Element x y z (fractional)
Li1 0.0863 0.5756 0.5756  3 Zn 2.76-2.93, 4 Li 2.80-2.93
Li2 0.4244 0.4244 0.9137  3 Zn 2.76-2.93, 4 Li 2.80-2.93
Li3 0.4244 0.9137 0.4244  3 Zn 2.76-2.93, 4 Li 2.80-2.93
Li4 0.5756 0.0863 0.5756  3 Zn 2.76-2.93, 4 Li 2.80-2.93
Li5 0.5756 0.5756 0.0863  3 Zn 2.76-2.93, 4 Li 2.80-2.93
Li6 0.9137 0.4244 0.4244  3 Zn 2.76-2.93, 4 Li 2.80-2.93
Ca1 0.0000 0.0000 0.0000  6 Zn 3.31, 12 Li 3.62
Ca2 0.1439 0.1439 0.1439  3 Zn 3.37, 9 Li 3.39-3.52, 3 Ca 3.55
Ca3 0.8561 0.8561 0.8561  3 Zn 3.37, 9 Li 3.39-3.52, 3 Ca 3.55
Zn1 0.3322 0.3322 0.3322  6 Li 2.76-2.77
Zn2 0.5000 0.5000 0.5000  6 Li 2.93
Zn3 0.6678 0.6678 0.6678  6 Li 2.76-2.77

Values from the calculation:
As for the total moment: 0.000 μB per atom. For the density of states at the Fermi level, the calculation gives 6.7 states/eV per cell. The formation energy comes out at -0.4 eV/f.u. The space-group type is R-3m.

---

Compound: PuMg2BeO6
Source: Alexandria via LeMat-Bulk
Functional: GGA-PBE
Structure: relaxed

Lattice parameters (Å, degrees): 5.8369 5.8369 5.8369 52.54 52.54 52.54
With the nearest neighbours (Å) after each atom.
Element x y z (fractional)
Pu1 0.0000 0.0000 0.0000  6 O 2.00-2.17
Mg1 0.3089 0.3089 0.3089  6 O 2.14
Mg2 0.8005 0.8005 0.8005  3 O 2.06
Be1 0.5698 0.5698 0.5698  3 O 1.61
O1 0.0815 0.7213 0.3932  1 Pu 2.00, 2 Mg 2.06-2.14
O2 0.2512 0.6041 0.8721  1 Be 1.61
O3 0.3932 0.0815 0.7213  1 Pu 2.00, 2 Mg 2.06-2.14
O4 0.6041 0.8721 0.2512  1 Be 1.61
O5 0.7213 0.3932 0.0815  1 Pu 2.00, 2 Mg 2.06-2.14
O6 0.8721 0.2512 0.6041  1 Be 1.61

Values from the calculation:
As for the total moment: 0.200 μB per atom. For the density of states at the Fermi level, the calculation gives 7.4 states/eV per cell. As for the energy relative to the elements, uncorrected: -2.466 eV per atom. The space-group type is R3.